[1]
Ag2Pb2Br | PBE-GGA | optimized geometry

Structure (POSCAR):
```
Ag2Pb2Br
1.0
8.631 0.000 0.000
0.000 8.631 0.000
0.000 0.000 3.599
Pb Br Ag
4 2 4
direct
0.314 0.814 0.000 Pb
0.814 0.686 0.000 Pb
0.686 0.186 0.000 Pb
0.186 0.314 0.000 Pb
0.000 0.000 0.000 Br
0.500 0.500 0.000 Br
0.114 0.614 0.500 Ag
0.614 0.886 0.500 Ag
0.886 0.386 0.500 Ag
0.386 0.114 0.500 Ag
```

Summary:
Calculated total energy   -2.98 eV per atom
Formation energy from raw total energies   -0.0251 eV/atom

=====

[2]
SbIrBr2 | PBE-GGA | optimized geometry

Structure (POSCAR):
```
SbIrBr2
1.0
3.293 0.000 0.000
0.000 3.293 0.000
0.000 0.000 9.315
Sb Ir Br
1 1 2
direct
0.500 0.500 0.691 Sb
0.000 0.000 0.530 Ir
0.000 0.000 0.944 Br
0.500 0.500 0.335 Br
```

Summary:
Calculated total energy   -3.81 eV per atom
Formation energy from raw total energies   0.2735 eV/atom

=====

[3]
BeOs2Ru | PBE-GGA | optimized geometry

Structure (POSCAR):
```
BeOs2Ru
1.0
-0.827 0.408 -2.506
-1.800 -0.923 1.743
-2.120 7.882 1.984
Ru Os Be
1 2 1
direct
0.000 0.000 0.524 Ru
0.000 0.000 0.976 Os
0.500 0.500 0.252 Os
0.500 0.500 0.748 Be
```

Summary:
Calculated total energy   -8.47 eV per atom
Formation energy from the elements   0.40 eV per atom

=====

[4]
CeSm2Hg | PBE-GGA | optimized geometry

Structure (POSCAR):
```
CeSm2Hg
1.0
3.628 0.000 0.000
1.814 3.142 0.000
1.814 1.047 10.804
Ce Sm Hg
1 2 1
direct
0.500 0.500 0.501 Ce
0.077 0.077 0.770 Sm
0.257 0.257 0.230 Sm
0.667 0.667 0.000 Hg
```

Summary:
Calculated total energy   -4.00 eV per atom
Formation energy from the elements   -0.08 eV per atom

=====

[5]
SnAuS | PBE-GGA | optimized geometry

Structure (POSCAR):
```
SnAuS
1.0
-2.211 -2.417 1.807
3.666 0.096 0.740
-1.796 9.661 7.084
Sn Au S
2 2 2
direct
0.849 0.417 0.266 Sn
0.151 0.583 0.734 Sn
0.283 0.139 0.422 Au
0.717 0.861 0.578 Au
0.565 0.293 0.858 S
0.435 0.707 0.142 S
```

Summary:
Calculated total energy   -3.99 eV per atom
Formation energy from raw total energies   -0.1886 eV/atom

=====

[6]
Ba2Na2Sr2Ni | PBE-GGA | optimized geometry

Structure (POSCAR):
```
Ba2Na2Sr2Ni
1.0
-0.629 4.361 -0.134
-2.004 -0.527 -8.427
-8.971 0.925 -0.501
Ba Na Sr Ni
2 2 2 1
direct
0.176 0.127 0.647 Ba
0.824 0.873 0.353 Ba
0.152 0.569 0.698 Na
0.848 0.431 0.302 Na
0.488 0.230 0.022 Sr
0.512 0.770 0.978 Sr
0.000 0.000 0.000 Ni
```

Summary:
Calculated total energy   -2.22 eV per atom
Formation energy from the elements   0.02 eV per atom

=====

> The lowest calculated total energy belongs to which entry?

BeOs2Ru